[1]
Material: LiGaIr
Method: DFT, PBEsol
State: relaxed

```
6
Lattice="4.338 0.000 0.000 -2.169 3.757 0.000 0.000 0.000 5.065" Properties=species:S:1:pos:R:3 pbc="T T T"
Li 0.000 0.000 0.000
Ir 2.169 1.252 3.799
Li 0.000 0.000 2.533
Ga 2.169 1.252 1.266
Ga 0.000 2.505 3.799
Ir 0.000 2.505 1.266
```

Output
Spin magnetization: 0.0 μB per formula unit
Space-group type: No. 194
Calculated volume: 41.3 Å³/f.u.
Formation energy: -0.35 eV/atom


[2]
Material: LiGa2Ir2
Method: DFT, PBEsol
State: relaxed

```
10
Lattice="-2.198 0.044 1.855 -4.580 -1.070 -5.401 0.608 -7.081 0.887" Properties=species:S:1:pos:R:3 pbc="T T T"
Ga -3.577 -6.672 -1.851
Li -1.986 -4.075 -2.257
Ir -0.447 -2.670 -0.467
Ga -1.404 -4.769 0.679
Ir -1.107 -6.435 -1.160
Li 0.000 0.000 0.000
Ir -2.865 -1.715 -3.354
Ga -2.593 -1.435 -0.809
Ga -4.766 -3.338 -3.338
Ir -3.525 -5.481 -4.047
```

Output
Spin magnetization: 0.0 μB per formula unit
Space-group type: No. 127
Calculated volume: 73.8 Å³/f.u.
Formation energy: -0.44 eV/atom


[3]
Material: MgGaIr2
Method: DFT, PBEsol
State: relaxed

```
4
Lattice="-3.843 0.682 -1.788 -2.151 -3.263 -1.777 -3.546 -1.515 1.888" Properties=species:S:1:pos:R:3 pbc="T T T"
Mg 0.000 0.000 0.000
Ir -7.155 -3.072 -1.258
Ir -2.385 -1.024 -0.419
Ga -4.770 -2.048 -0.838
```

Output
Spin magnetization: 0.0 μB per formula unit
Space-group type: No. 225
Calculated volume: 56.0 Å³/f.u.
Formation energy: -0.43 eV/atom


[4]
Material: Mg2GaIr2
Method: DFT, PBEsol
State: relaxed

```
10
Lattice="4.176 0.000 0.000 0.000 6.317 0.000 0.000 0.000 6.317" Properties=species:S:1:pos:R:3 pbc="T T T"
Mg 2.088 2.119 1.039
Ir 0.000 4.043 0.885
Ir 0.000 2.273 5.432
Ir 0.000 0.885 2.273
Ga 0.000 3.158 3.158
Mg 2.088 1.039 4.198
Mg 2.088 5.277 2.119
Ir 0.000 5.432 4.043
Mg 2.088 4.198 5.277
Ga 0.000 0.000 0.000
```

Output
Spin magnetization: 0.0 μB per formula unit
Space-group type: No. 127
Calculated volume: 83.3 Å³/f.u.
Formation energy: -0.43 eV/atom


[5]
Material: MgGa2Ir2
Method: DFT, PBEsol
State: relaxed

```
10
Lattice="2.926 0.000 0.000 0.000 7.207 0.000 0.000 0.000 7.207" Properties=species:S:1:pos:R:3 pbc="T T T"
Ir 0.000 4.662 1.058
Ir 0.000 1.058 2.545
Ga 1.463 6.120 2.517
Ir 0.000 6.148 4.662
Ga 1.463 2.517 1.087
Ga 1.463 4.690 6.120
Ga 1.463 1.087 4.690
Ir 0.000 2.545 6.148
Mg 0.000 0.000 0.000
Mg 0.000 3.603 3.603
```

Output
Spin magnetization: 0.0 μB per formula unit
Space-group type: No. 127
Calculated volume: 76.0 Å³/f.u.
Formation energy: -0.47 eV/atom


[6]
Material: Mn2GaIr2
Method: DFT, PBEsol
State: relaxed

```
5
Lattice="3.158 0.000 0.000 0.000 3.158 0.000 -1.579 -1.579 6.656" Properties=species:S:1:pos:R:3 pbc="T T T"
Ga 0.000 0.000 0.000
Ir 0.000 0.000 5.285
Mn 1.579 0.000 3.328
Mn 0.000 1.579 3.328
Ir 1.579 1.579 1.372
```

Output
Spin magnetization: 0.0 μB per formula unit
Space-group type: No. 139
Calculated volume: 66.4 Å³/f.u.
Formation energy: 0.11 eV/atom


[7]
Material: MnGaIr2
Method: DFT, PBEsol
State: relaxed

```
4
Lattice="-1.121 -2.617 1.049 2.735 0.121 3.224 -2.822 2.137 2.314" Properties=species:S:1:pos:R:3 pbc="T T T"
Ir -1.972 -0.240 1.682
Ir 0.807 -1.248 2.136
Mn -0.044 1.129 2.769
Ga 0.000 0.000 0.000
```

Output
Spin magnetization: 4.0 μB per formula unit
Space-group type: No. 123
Calculated volume: 54.3 Å³/f.u.
Formation energy: -0.28 eV/atom


[8]
Material: MnGaIr2Os
Method: DFT, PBEsol
State: relaxed

```
5
Lattice="4.308 0.000 0.000 0.000 4.390 0.000 0.000 0.000 4.390" Properties=species:S:1:pos:R:3 pbc="T T T"
Ir 0.000 2.195 0.000
Ga 0.000 0.000 0.000
Os 2.154 2.195 2.195
Ir 0.000 0.000 2.195
Mn 2.154 0.000 0.000
```

Output
Spin magnetization: 3.1 μB per formula unit
Space-group type: No. 123
Calculated volume: 83.0 Å³/f.u.
Formation energy: 1.68 eV/atom


calculated volume of number 6 (Mn2GaIr2)? 66.4 Å³/f.u.


Copy entry 2 word for word.
Material: LiGa2Ir2
Method: DFT, PBEsol
State: relaxed

```
10
Lattice="-2.198 0.044 1.855 -4.580 -1.070 -5.401 0.608 -7.081 0.887" Properties=species:S:1:pos:R:3 pbc="T T T"
Ga -3.577 -6.672 -1.851
Li -1.986 -4.075 -2.257
Ir -0.447 -2.670 -0.467
Ga -1.404 -4.769 0.679
Ir -1.107 -6.435 -1.160
Li 0.000 0.000 0.000
Ir -2.865 -1.715 -3.354
Ga -2.593 -1.435 -0.809
Ga -4.766 -3.338 -3.338
Ir -3.525 -5.481 -4.047
```

Output
Spin magnetization: 0.0 μB per formula unit
Space-group type: No. 127
Calculated volume: 73.8 Å³/f.u.
Formation energy: -0.44 eV/atom


Among the records above, which one has the highest spin magnetization? MnGaIr2


What did the third record say?
Material: MgGaIr2
Method: DFT, PBEsol
State: relaxed

```
4
Lattice="-3.843 0.682 -1.788 -2.151 -3.263 -1.777 -3.546 -1.515 1.888" Properties=species:S:1:pos:R:3 pbc="T T T"
Mg 0.000 0.000 0.000
Ir -7.155 -3.072 -1.258
Ir -2.385 -1.024 -0.419
Ga -4.770 -2.048 -0.838
```

Output
Spin magnetization: 0.0 μB per formula unit
Space-group type: No. 225
Calculated volume: 56.0 Å³/f.u.
Formation energy: -0.43 eV/atom